Record 1
VASP calculation (PBE) on a relaxed ZrAl2Cd crystal.

- Final energy: -4.376 eV/atom
- Energy of formation: -0.1386 eV per atom
- Magnetic moment: 0.000 μB/cell
- Crystal system: tetragonal
- ρ: 5.5 g cm⁻³

Lattice parameters (Å, degrees): 4.1408 4.1408 9.1451 90.00 90.00 90.00
Space group I4/mmm (No. 139)
One atom of each set of equivalent atoms:
Zr 0.0000 0.0000 0.0000
Al 0.0000 0.5000 0.2500
Cd 0.0000 0.0000 0.5000


Record 2
VASP calculation (PBE) on a relaxed Zr2AlCd crystal.

- Final energy: -5.689 eV/atom
- Energy of formation: -0.2501 eV per atom
- Magnetic moment: 0.000 μB/cell
- Crystal system: tetragonal
- ρ: 6.5 g cm⁻³

Lattice parameters (Å, degrees): 4.3851 4.3851 4.2788 90.00 90.00 90.00
Space group P4/mmm (No. 123)
One atom of each set of equivalent atoms:
Zr 0.0000 0.5000 0.0000
Al 0.0000 0.0000 0.5000
Cd 0.5000 0.5000 0.5000


Record 3
VASP calculation (PBE) on a relaxed ZrAlCd crystal.

- Final energy: -4.437 eV/atom
- Energy of formation: -0.0348 eV per atom
- Magnetic moment: 0.000 μB/cell
- Crystal system: trigonal
- ρ: 6.2 g cm⁻³

Lattice parameters (Å, degrees): 3.0836 3.0836 7.5366 90.00 90.00 120.00
Space group P3m1 (No. 156)
One atom of each set of equivalent atoms:
Zr 0.0000 0.0000 0.0000
Al 0.3333 0.6667 0.3204
Cd 0.6667 0.3333 0.6482


Record 4
VASP calculation (PBE) on a relaxed ZrAlCd2 crystal.

- Final energy: -3.603 eV/atom
- Energy of formation: -0.0725 eV per atom
- Magnetic moment: 0.000 μB/cell
- Crystal system: monoclinic
- Distance to the lowest polymorph of the same formula: 0.162 eV/atom
- ρ: 6.9 g cm⁻³

Lattice parameters (Å, degrees): 11.2313 2.9146 5.7314 90.00 117.67 90.00
Space group Cm (No. 8)
One atom of each set of equivalent atoms:
Zr 0.0000 0.0000 0.0000
Al 0.2582 0.0000 0.9539
Cd 0.0126 0.5000 0.5149
Cd 0.2550 0.5000 0.4332


Record 5
VASP calculation (PBE) on a relaxed Zr2AlCd crystal.

- Final energy: -5.698 eV/atom
- Energy of formation: -0.2590 eV per atom
- Magnetic moment: 0.000 μB/cell
- Crystal system: tetragonal
- ρ: 6.5 g cm⁻³

Lattice parameters (Å, degrees): 4.3964 4.3964 8.5028 90.00 90.00 90.00
Space group I4/mmm (No. 139)
One atom of each set of equivalent atoms:
Zr 0.0000 0.5000 0.2500
Al 0.0000 0.0000 0.0000
Cd 0.0000 0.0000 0.5000


Record 6
VASP calculation (PBE) on a relaxed ZrAlCd2 crystal.

- Final energy: -3.517 eV/atom
- Energy of formation: 0.0137 eV per atom
- Magnetic moment: 0.000 μB/cell
- Crystal system: tetragonal
- Distance to the lowest polymorph of the same formula: 0.248 eV/atom
- ρ: 6.8 g cm⁻³

Lattice parameters (Å, degrees): 3.0738 3.0738 8.8110 90.00 90.00 90.00
Space group P4/mmm (No. 123)
One atom of each set of equivalent atoms:
Zr 0.0000 0.0000 0.0000
Al 0.0000 0.0000 0.5000
Cd 0.5000 0.5000 0.2611